1.
## Hf2Si2Ge (PBE-GGA)

Data for a relaxed Hf2Si2Ge crystal.

Results
- formation energy from raw total energies (kJ/mol of formula units) = -188
- energy (eV for the cell shown) = -74.65
- symmetry = No. 127

Lattice parameters (Å, degrees): 7.0575 7.0575 3.7814 90.00 90.00 90.00
Closest atoms and distances in Å follow each position.
Atoms (fractional coordinates):
Hf  0.1756  0.3244  0.0000  2 Ge 2.60, 6 Si 2.78-2.84
Hf  0.3244  0.8244  0.0000  2 Ge 2.60, 6 Si 2.78-2.84
Hf  0.6756  0.1756  0.0000  2 Ge 2.60, 6 Si 2.78-2.84
Hf  0.8244  0.6756  0.0000  2 Ge 2.60, 6 Si 2.78-2.84
Si  0.1203  0.6203  0.5000  1 Si 2.40
Si  0.3797  0.1203  0.5000  1 Si 2.40
Si  0.6203  0.8797  0.5000  1 Si 2.40
Si  0.8797  0.3797  0.5000  1 Si 2.40
Ge  0.0000  0.0000  0.0000  4 Hf 2.60
Ge  0.5000  0.5000  0.0000  4 Hf 2.60

---

2.
## La2SmAs3Rh4 (PBE-GGA)

Data for a relaxed La2SmAs3Rh4 crystal.

Results
- formation energy from the elements (meV per atom) = -975.5
- energy (eV for the cell shown) = -67.68
- symmetry = No. 115

Lattice parameters (Å, degrees): 4.1914 4.1914 11.5388 90.00 90.00 90.00
Closest atoms and distances in Å follow each position.
Atoms (fractional coordinates):
La  0.0000  0.5000  0.2259  4 As 3.19, 8 Rh 3.23-3.34
La  0.5000  0.0000  0.7741  4 As 3.19, 8 Rh 3.23-3.34
Sm  0.0000  0.0000  0.5000  4 Rh 2.82, 4 As 2.96
As  0.0000  0.5000  0.8756  5 Rh 2.45-2.54
As  0.5000  0.0000  0.1244  5 Rh 2.45-2.54
As  0.5000  0.5000  0.5000  4 Rh 2.82, 4 Sm 2.96
Rh  0.0000  0.0000  0.0000  4 As 2.54
Rh  0.0000  0.5000  0.6632  1 As 2.45
Rh  0.5000  0.0000  0.3368  1 As 2.45
Rh  0.5000  0.5000  0.0000  4 As 2.54

---

3.
## Pr4Bi3H (PBE-GGA)

Data for a relaxed Pr4Bi3H crystal.

Results
- energy (eV for the cell shown) = -78.97
- symmetry = No. 31

Lattice parameters (Å, degrees): 12.8041 6.4947 6.4803 90.00 90.00 90.00
Closest atoms and distances in Å follow each position.
Atoms (fractional coordinates):
Pr  0.0000  0.1657  0.0000  1 H 2.32
Pr  0.0000  0.7492  0.5693  1 H 2.32
Pr  0.2466  0.2401  0.5006  5 Bi 3.16-3.25, 1 H 3.31
Pr  0.2534  0.7599  0.0006  5 Bi 3.16-3.25, 1 H 3.31
Pr  0.5000  0.2508  0.0693  1 H 2.32
Pr  0.5000  0.8343  0.5000  1 H 2.32
Pr  0.7466  0.7599  0.0006  5 Bi 3.16-3.25, 1 H 3.31
Pr  0.7534  0.2401  0.5006  5 Bi 3.16-3.25, 1 H 3.31
Bi  0.0000  0.2495  0.4999  6 Pr 3.16-3.29
Bi  0.2487  0.2600  0.0017  6 Pr 3.24-3.25
Bi  0.2513  0.7400  0.5017  6 Pr 3.24-3.25
Bi  0.5000  0.7505  0.9999  6 Pr 3.16-3.29
Bi  0.7487  0.7400  0.5017  6 Pr 3.24-3.25
Bi  0.7513  0.2600  0.0017  6 Pr 3.24-3.25
H  0.0000  0.8175  0.9214  2 Pr 2.32
H  0.5000  0.1825  0.4214  2 Pr 2.32

---

4.
## Ca2MnNi (PBE-GGA)

Data for a relaxed Ca2MnNi crystal.

Results
- formation energy from the elements (meV per atom) = 404.6
- energy (eV for the cell shown) = -17.34
- symmetry = No. 119

Lattice parameters (Å, degrees): 5.7147 5.7147 5.7147 135.81 135.81 64.28
Closest atoms and distances in Å follow each position.
Atoms (fractional coordinates):
Ca  0.0000  0.0000  0.0000  4 Mn 3.04, 4 Ca 3.24, 4 Ni 3.24
Ca  0.7500  0.2500  0.5000  4 Ni 3.04, 4 Mn 3.24, 4 Ca 3.24
Mn  0.5000  0.5000  0.0000  8 Ca 3.04-3.24, 4 Ni 3.24
Ni  0.2500  0.7500  0.5000  8 Ca 3.04-3.24, 4 Mn 3.24

---

5.
## CaNdAg3 (PBE-GGA)

Data for a relaxed CaNdAg3 crystal.

Results
- formation energy from the elements (meV per atom) = -264.5
- energy (eV for the cell shown) = -33.29
- symmetry = No. 63

Lattice parameters (Å, degrees): 14.1695 14.1695 4.8146 90.00 90.00 164.87
Closest atoms and distances in Å follow each position.
Atoms (fractional coordinates):
Ca  0.2076  0.7924  0.7500  7 Ag 3.07-3.30
Ca  0.7924  0.2076  0.2500  7 Ag 3.07-3.30
Nd  0.0737  0.9263  0.2500  12 Ag 3.30-3.40
Nd  0.9263  0.0737  0.7500  12 Ag 3.30-3.40
Ag  0.3250  0.6750  0.7500  2 Ag 2.85, 4 Ca 3.18
Ag  0.3794  0.6206  0.2500  3 Ag 2.73-2.85
Ag  0.4767  0.5233  0.2500  3 Ag 2.73-2.74
Ag  0.5233  0.4767  0.7500  3 Ag 2.73-2.74
Ag  0.6206  0.3794  0.7500  3 Ag 2.73-2.85
Ag  0.6750  0.3250  0.2500  2 Ag 2.85, 4 Ca 3.18

---

6.
## NaZn3Ag (PBE-GGA)

Data for a relaxed NaZn3Ag crystal.

Results
- formation energy from the elements (meV per atom) = 67.9
- energy (eV for the cell shown) = -7.65
- symmetry = No. 99

Lattice parameters (Å, degrees): 3.6170 3.6170 7.7253 90.00 90.00 90.00
Closest atoms and distances in Å follow each position.
Atoms (fractional coordinates):
Na  0.0000  0.0000  0.0000  5 Zn 2.97-3.23
Zn  0.0000  0.0000  0.6161  4 Ag 2.66, 4 Zn 2.76, 1 Na 2.97
Zn  0.0000  0.5000  0.3462  6 Zn 2.56-2.76
Zn  0.5000  0.0000  0.3462  6 Zn 2.56-2.76
Ag  0.5000  0.5000  0.7091  4 Zn 2.66

---

7.
## Rb3Cd2O4 (PBE-GGA)

Data for a relaxed Rb3Cd2O4 crystal.

Results
- formation energy from raw total energies (kJ/mol of formula units) = -866
- energy (eV for the cell shown) = -33.54
- symmetry = No. 12

Lattice parameters (Å, degrees): 6.9542 6.9542 10.0369 126.71 126.71 32.28
Closest atoms and distances in Å follow each position.
Atoms (fractional coordinates):
Rb  0.0000  0.0000  0.0000  6 O 2.89-2.92
Rb  0.1838  0.1838  0.7843  5 O 2.81-3.09
Rb  0.8162  0.8162  0.2157  5 O 2.81-3.09
Cd  0.3686  0.3686  0.6312  4 O 2.12-2.37
Cd  0.6314  0.6314  0.3688  4 O 2.12-2.37
O  0.2259  0.2259  0.3535  3 Cd 2.19-2.37
O  0.4353  0.4353  0.1535  1 Cd 2.12
O  0.5647  0.5647  0.8465  1 Cd 2.12
O  0.7741  0.7741  0.6465  3 Cd 2.19-2.37

---

8.
## Sc3NiSb (PBE-GGA)

Data for a relaxed Sc3NiSb crystal.

Results
- formation energy from raw total energies (kJ/mol of formula units) = -192
- energy (eV for the cell shown) = -30.89
- symmetry = No. 221

Lattice parameters (Å, degrees): 4.8430 4.8430 4.8430 90.00 90.00 90.00
Closest atoms and distances in Å follow each position.
Atoms (fractional coordinates):
Sc  0.0000  0.0000  0.5000  2 Ni 2.42
Sc  0.0000  0.5000  0.0000  2 Ni 2.42
Sc  0.5000  0.0000  0.0000  2 Ni 2.42
Ni  0.0000  0.0000  0.0000  6 Sc 2.42
Sb  0.5000  0.5000  0.5000  12 Sc 3.42

---

9.
## La2NbSbS (PBE-GGA)

Data for a relaxed La2NbSbS crystal.

Results
- formation energy from raw total energies (kJ/mol of formula units) = -13
- energy (eV for the cell shown) = -28.31
- symmetry = No. 123

Lattice parameters (Å, degrees): 5.4450 5.4450 5.2315 90.00 90.00 90.00
Closest atoms and distances in Å follow each position.
Atoms (fractional coordinates):
La  0.0000  0.5000  0.0000  2 S 2.72
La  0.5000  0.0000  0.0000  2 S 2.72
Nb  0.0000  0.0000  0.5000  8 La 3.78, 4 Sb 3.85
Sb  0.5000  0.5000  0.5000  2 S 2.62
S  0.5000  0.5000  0.0000  2 Sb 2.62, 4 La 2.72

---

10.
## Np4S6F (PBE-GGA)

Data for a relaxed Np4S6F crystal.

Results
- formation energy from raw total energies (kJ/mol of formula units) = -1504
- energy (eV for the cell shown) = -93.99
- symmetry = No. 187

Lattice parameters (Å, degrees): 8.3831 8.3831 3.7444 90.00 90.00 120.00
Closest atoms and distances in Å follow each position.
Atoms (fractional coordinates):
Np  0.0000  0.0000  0.0000  9 S 2.77-3.01
Np  0.0198  0.5099  0.5000  6 S 2.69-2.81
Np  0.4901  0.5099  0.5000  6 S 2.69-2.81
Np  0.4901  0.9802  0.5000  6 S 2.69-2.81
S  0.2072  0.4143  0.0000  5 Np 2.81-3.01
S  0.2072  0.7928  0.0000  5 Np 2.81-3.01
S  0.2807  0.1404  0.5000  4 Np 2.69-2.77
S  0.5857  0.7928  0.0000  5 Np 2.81-3.01
S  0.8596  0.1404  0.5000  4 Np 2.69-2.77
S  0.8596  0.7193  0.5000  4 Np 2.69-2.77
F  0.6667  0.3333  0.0000  6 Np 3.17, 6 S 3.37

---

11.
## Zr2TcHIr (PBE-GGA)

Data for a relaxed Zr2TcHIr crystal.

Results
- energy (eV for the cell shown) = -42.32
- symmetry = No. 123

Lattice parameters (Å, degrees): 4.5740 4.5740 3.5635 90.00 90.00 90.00
Closest atoms and distances in Å follow each position.
Atoms (fractional coordinates):
Zr  0.0000  0.5000  0.0000  2 H 2.29
Zr  0.5000  0.0000  0.0000  2 H 2.29
Tc  0.0000  0.0000  0.5000  2 H 1.78
H  0.0000  0.0000  0.0000  2 Tc 1.78
Ir  0.5000  0.5000  0.5000  8 Zr 2.90, 4 Tc 3.23

---

12.
## Si5Pb3Se12 (PBE-GGA)

Data for a relaxed Si5Pb3Se12 crystal.

Results
- formation energy from raw total energies (kJ/mol of formula units) = -556
- energy (eV for the cell shown) = -343.28
- symmetry = No. 230

Lattice parameters (Å, degrees): 13.8748 13.8748 13.8748 109.47 109.47 109.47
Closest atoms and distances in Å follow each position.
Atoms (fractional coordinates):
Si  0.0000  0.0000  0.0000  6 Se 2.62
Si  0.0000  0.0000  0.5000  6 Se 2.62
Si  0.0000  0.5000  0.0000  6 Se 2.62
Si  0.0000  0.5000  0.5000  6 Se 2.62
Si  0.1250  0.7500  0.8750  4 Se 2.33
Si  0.1250  0.8750  0.2500  4 Se 2.33
Si  0.2500  0.1250  0.8750  4 Se 2.33
Si  0.2500  0.6250  0.3750  4 Se 2.33
Si  0.3750  0.2500  0.6250  4 Se 2.33
Si  0.3750  0.6250  0.7500  4 Se 2.33
Si  0.5000  0.0000  0.0000  6 Se 2.62
Si  0.5000  0.0000  0.5000  6 Se 2.62
Si  0.5000  0.5000  0.0000  6 Se 2.62
Si  0.5000  0.5000  0.5000  6 Se 2.62
Si  0.6250  0.3750  0.2500  4 Se 2.33
Si  0.6250  0.7500  0.3750  4 Se 2.33
Si  0.7500  0.3750  0.6250  4 Se 2.33
Si  0.7500  0.8750  0.1250  4 Se 2.33
Si  0.8750  0.1250  0.7500  4 Se 2.33
Si  0.8750  0.2500  0.1250  4 Se 2.33
Pb  0.1250  0.2500  0.3750  8 Se 3.13-3.20
Pb  0.1250  0.3750  0.7500  8 Se 3.13-3.20
Pb  0.2500  0.3750  0.1250  8 Se 3.13-3.20
Pb  0.2500  0.8750  0.6250  8 Se 3.13-3.20
Pb  0.3750  0.1250  0.2500  8 Se 3.13-3.20
Pb  0.3750  0.7500  0.1250  8 Se 3.13-3.20
Pb  0.6250  0.2500  0.8750  8 Se 3.13-3.20
Pb  0.6250  0.8750  0.7500  8 Se 3.13-3.20
Pb  0.7500  0.1250  0.3750  8 Se 3.13-3.20
Pb  0.7500  0.6250  0.8750  8 Se 3.13-3.20
Pb  0.8750  0.6250  0.2500  8 Se 3.13-3.20
Pb  0.8750  0.7500  0.6250  8 Se 3.13-3.20
Se  0.0210  0.2054  0.1163  1 Si 2.33
Se  0.0210  0.3155  0.9046  1 Si 2.33
Se  0.0891  0.7054  0.6845  1 Si 2.33
Se  0.0891  0.8837  0.4046  1 Si 2.33
Se  0.0954  0.6163  0.4109  1 Si 2.33
Se  0.0954  0.9790  0.6845  1 Si 2.33
Se  0.1163  0.0210  0.2054  1 Si 2.33
Se  0.1163  0.5954  0.9109  1 Si 2.33
Se  0.1845  0.2054  0.5891  1 Si 2.33
Se  0.1845  0.4790  0.5954  1 Si 2.33
Se  0.2054  0.1163  0.0210  1 Si 2.33
Se  0.2054  0.5891  0.1845  1 Si 2.33
Se  0.2946  0.3155  0.9109  1 Si 2.33
Se  0.2946  0.4790  0.3837  1 Si 2.33
Se  0.3155  0.9046  0.0210  1 Si 2.33
Se  0.3155  0.9109  0.2946  1 Si 2.33
Se  0.3837  0.2946  0.4790  1 Si 2.33
Se  0.3837  0.5891  0.9046  1 Si 2.33
Se  0.4046  0.0891  0.8837  1 Si 2.33
Se  0.4046  0.8155  0.5210  1 Si 2.33
Se  0.4109  0.0954  0.6163  1 Si 2.33
Se  0.4109  0.8155  0.7946  1 Si 2.33
Se  0.4790  0.3837  0.2946  1 Si 2.33
Se  0.4790  0.5954  0.1845  1 Si 2.33
Se  0.5210  0.4046  0.8155  1 Si 2.33
Se  0.5210  0.6163  0.7054  1 Si 2.33
Se  0.5891  0.1845  0.2054  1 Si 2.33
Se  0.5891  0.9046  0.3837  1 Si 2.33
Se  0.5954  0.1845  0.4790  1 Si 2.33
Se  0.5954  0.9109  0.1163  1 Si 2.33
Se  0.6163  0.4109  0.0954  1 Si 2.33
Se  0.6163  0.7054  0.5210  1 Si 2.33
Se  0.6845  0.0891  0.7054  1 Si 2.33
Se  0.6845  0.0954  0.9790  1 Si 2.33
Se  0.7054  0.5210  0.6163  1 Si 2.33
Se  0.7054  0.6845  0.0891  1 Si 2.33
Se  0.7946  0.4109  0.8155  1 Si 2.33
Se  0.7946  0.8837  0.9790  1 Si 2.33
Se  0.8155  0.5210  0.4046  1 Si 2.33
Se  0.8155  0.7946  0.4109  1 Si 2.33
Se  0.8837  0.4046  0.0891  1 Si 2.33
Se  0.8837  0.9790  0.7946  1 Si 2.33
Se  0.9046  0.0210  0.3155  1 Si 2.33
Se  0.9046  0.3837  0.5891  1 Si 2.33
Se  0.9109  0.1163  0.5954  1 Si 2.33
Se  0.9109  0.2946  0.3155  1 Si 2.33
Se  0.9790  0.6845  0.0954  1 Si 2.33
Se  0.9790  0.7946  0.8837  1 Si 2.33

---

energy of number 5 (CaNdAg3)?
-33.29 eV for the cell shown

---

The lowest energy belongs to which entry?
Si5Pb3Se12

---

The lowest energy belongs to which entry?
Si5Pb3Se12

---

What is the formula in the eleventh record?
Zr2TcHIr